# CaPm2Bi (GGA-PBE, optimized geometry)
data_CaPm2Bi
_symmetry_space_group_name_H-M 'P 4/m m m'
_symmetry_Int_Tables_number 123
_symmetry_space_group_name_Hall '-P 4 2'
_cell_length_a 4.938
_cell_length_b 4.938
_cell_length_c 5.152
_cell_angle_alpha 90.00
_cell_angle_beta 90.00
_cell_angle_gamma 90.00
loop_
_atom_site_label
_atom_site_fract_x
_atom_site_fract_y
_atom_site_fract_z
Ca1 0.000 0.000 0.000
Pm1 0.000 0.500 0.500
Bi1 0.500 0.500 0.000
# Formation energy in eV/f.u.: -1.48
# Energy above the most stable polymorph in this dataset in kcal/mol of atoms: 2.37
# V in Å³/cell: 126



# AcGa4Pt (GGA-PBE, optimized geometry)
data_AcGa4Pt
_symmetry_space_group_name_H-M 'C m c m'
_symmetry_Int_Tables_number 63
_symmetry_space_group_name_Hall '-C 2c 2'
_cell_length_a 4.450
_cell_length_b 16.332
_cell_length_c 6.871
_cell_angle_alpha 90.00
_cell_angle_beta 90.00
_cell_angle_gamma 90.00
loop_
_atom_site_label
_atom_site_fract_x
_atom_site_fract_y
_atom_site_fract_z
Ac1 0.000 0.120 0.250
Ga1 0.000 0.068 0.750
Ga2 0.000 0.317 0.055
Ga3 0.000 0.500 0.000
Pt1 0.000 0.221 0.750
# Formation energy in eV/f.u.: -3.90
# Energy above the most stable polymorph in this dataset in kcal/mol of atoms: 0.00
# V in Å³/cell: 499



# CuAs2Br (GGA-PBE, optimized geometry)
data_CuAs2Br
_symmetry_space_group_name_H-M 'I m m m'
_symmetry_Int_Tables_number 71
_symmetry_space_group_name_Hall '-I 2 2'
_cell_length_a 2.658
_cell_length_b 5.929
_cell_length_c 10.937
_cell_angle_alpha 90.00
_cell_angle_beta 90.00
_cell_angle_gamma 90.00
loop_
_atom_site_label
_atom_site_fract_x
_atom_site_fract_y
_atom_site_fract_z
Cu1 0.000 0.000 0.000
As1 0.000 0.500 0.306
Br1 0.000 0.000 0.500
# Energy relative to the elements, uncorrected in eV/atom: 0.35
# Energy above the most stable polymorph in this dataset in kcal/mol of atoms: 8.61
# V in Å³/cell: 172